CrNiI2O after structural relaxation, computed with GGA+U.

Properties
E = -3.7645 eV/atom
Magnetization = 0.796 μB per atom

Unit cell a=5.706 b=5.706 c=3.701 alpha=90.00 beta=90.00 gamma=90.00
Space group P4/mmm (No. 123)
Unique sites:
Cr (0.000, 0.000, 0.000) (multiplicity 1)
Ni (0.500, 0.500, 0.500) (multiplicity 1)
I (0.000, 0.500, 0.000) (multiplicity 2)
O (0.000, 0.000, 0.500) (multiplicity 1)